Record 1
# Na3Mg2Pb2 (GGA-PBE, relaxed)
data_Na3Mg2Pb2
_chemical_formula_sum 'Na6 Mg4 Pb4'
_space_group_name_H-M_alt 'C 1 2/m 1'
_space_group_IT_number 12
_space_group_name_Hall '-C 2y'
_cell_length_a 8.983
_cell_length_b 5.122
_cell_length_c 8.629
_cell_angle_alpha 90.00
_cell_angle_beta 109.06
_cell_angle_gamma 90.00
loop_
_atom_site_label
_atom_site_type_symbol
_atom_site_fract_x
_atom_site_fract_y
_atom_site_fract_z
Na1 Na 0.000 0.000 0.000
Na2 Na 0.140 0.000 0.422
Mg1 Mg 0.217 0.500 0.147
Pb1 Pb 0.084 0.500 0.753
# DFT formation energy = -0.849 eV/f.u.
# magnetization = 0.00 μB/cell

Record 2
# Ta2Nb3Mo (GGA-PBE, relaxed)
data_Ta2Nb3Mo
_chemical_formula_sum 'Ta8 Nb12 Mo4'
_space_group_name_H-M_alt 'C m m m'
_space_group_IT_number 65
_space_group_name_Hall '-C 2 2'
_cell_length_a 4.655
_cell_length_b 13.930
_cell_length_c 6.580
_cell_angle_alpha 90.00
_cell_angle_beta 90.00
_cell_angle_gamma 90.00
loop_
_atom_site_label
_atom_site_type_symbol
_atom_site_fract_x
_atom_site_fract_y
_atom_site_fract_z
Ta1 Ta 0.000 0.000 0.000
Ta2 Ta 0.000 0.000 0.500
Ta3 Ta 0.000 0.334 0.000
Nb1 Nb 0.000 0.169 0.257
Nb2 Nb 0.000 0.500 0.254
Mo1 Mo 0.000 0.334 0.500
# DFT formation energy = -0.311 eV/f.u.
# magnetization = 0.00 μB/cell
# energy above the lowest structure with this stoichiometry = 0 kJ/mol of formula units